Record 1
4
Lattice="3.567 -1.651 0.000 3.567 1.651 0.000 -1.508 0.000 5.132" Properties=species:S:1:pos:R:3 comment="MgMnP2 | Alexandria | PBE-GGA | optimized geometry" ef_ev_per_atom=-0.269 total_magnetization_mub_per_fu=1.83 spacegroup=C2/m crystal_system=monoclinic dos_at_fermi_per_ev_cell=1.910 pbc="T T T"
Mg 0.000 0.000 0.000
Mn 2.813 0.000 2.566
P 0.645 0.000 3.472
P 4.980 0.000 1.660


Record 2
5
Lattice="4.886 0.000 0.000 0.000 4.886 0.000 0.000 0.000 4.886" Properties=species:S:1:pos:R:3 comment="CaCu3As | Alexandria | PBE-GGA | optimized geometry" ef_ev_per_atom=1.360 total_magnetization_mub_per_fu=0.00 spacegroup=Pm-3m crystal_system=cubic polymorph_energy_mev_per_atom=1263 dos_at_fermi_per_ev_cell=2.584 pbc="T T T"
Ca 0.000 0.000 0.000
Cu 0.000 0.000 2.443
Cu 0.000 2.443 0.000
Cu 2.443 0.000 0.000
As 2.443 2.443 2.443


Record 3
5
Lattice="4.941 0.000 0.000 0.000 4.941 0.000 0.000 0.000 4.941" Properties=species:S:1:pos:R:3 comment="Hf3MnPd | Alexandria | PBE-GGA | optimized geometry" ef_ev_per_atom=1.098 total_magnetization_mub_per_fu=0.62 spacegroup=Pm-3m crystal_system=cubic polymorph_energy_mev_per_atom=789 dos_at_fermi_per_ev_cell=11.661 pbc="T T T"
Hf 0.000 0.000 2.471
Hf 0.000 2.471 0.000
Hf 2.471 0.000 0.000
Mn 2.471 2.471 2.471
Pd 0.000 0.000 0.000


Record 4
8
Lattice="3.922 0.000 0.000 0.000 3.922 0.000 0.000 0.000 9.111" Properties=species:S:1:pos:R:3 comment="Pa3BiN4 | Alexandria | PBE-GGA | optimized geometry" total_magnetization_mub_per_fu=0.00 spacegroup=P4/mmm formation_energy_uncorrected_ev_per_fu=-12.8 crystal_system=tetragonal dos_at_fermi_per_ev_cell=1.717 pbc="T T T"
Pa 0.000 0.000 0.000
Pa 1.961 1.961 2.456
Pa 1.961 1.961 6.655
Bi 0.000 0.000 4.555
N 0.000 1.961 1.388
N 0.000 1.961 7.722
N 1.961 0.000 1.388
N 1.961 0.000 7.722


Record 5
16
Lattice="5.144 0.000 0.000 0.000 5.144 0.000 0.000 0.000 20.555" Properties=species:S:1:pos:R:3 comment="Tb3Pm12Pr | Alexandria | PBE-GGA | optimized geometry" ef_ev_per_atom=0.014 total_magnetization_mub_per_fu=0.00 spacegroup=P4/mmm crystal_system=tetragonal dos_at_fermi_per_ev_cell=23.873 pbc="T T T"
Tb 0.000 0.000 0.000
Tb 0.000 0.000 5.112
Tb 0.000 0.000 15.443
Pm 0.000 2.572 2.557
Pm 0.000 2.572 7.669
Pm 0.000 2.572 12.886
Pm 0.000 2.572 17.998
Pm 2.572 0.000 2.557
Pm 2.572 0.000 7.669
Pm 2.572 0.000 12.886
Pm 2.572 0.000 17.998
Pm 2.572 2.572 0.000
Pm 2.572 2.572 5.102
Pm 2.572 2.572 10.278
Pm 2.572 2.572 15.453
Pr 0.000 0.000 10.278


Record 6
14
Lattice="6.741 0.000 0.000 0.000 6.741 0.000 0.000 0.000 6.741" Properties=species:S:1:pos:R:3 comment="LiGa3Cu3 | Alexandria | PBE-GGA | optimized geometry" ef_ev_per_atom=0.290 total_magnetization_mub_per_fu=0.00 spacegroup=Pm-3n crystal_system=cubic polymorph_energy_mev_per_atom=427 dos_at_fermi_per_ev_cell=4.990 pbc="T T T"
Li 0.000 0.000 0.000
Li 3.370 3.370 3.370
Ga 0.000 1.685 3.370
Ga 0.000 5.056 3.370
Ga 1.685 3.370 0.000
Ga 3.370 0.000 1.685
Ga 3.370 0.000 5.056
Ga 5.056 3.370 0.000
Cu 0.000 3.370 1.685
Cu 0.000 3.370 5.056
Cu 1.685 0.000 3.370
Cu 3.370 1.685 0.000
Cu 3.370 5.056 0.000
Cu 5.056 0.000 3.370


Record 7
4
Lattice="3.855 0.000 0.000 0.000 3.855 0.000 0.000 0.000 7.965" Properties=species:S:1:pos:R:3 comment="CsInAu2 | Alexandria | PBE-GGA | optimized geometry" ef_ev_per_atom=-0.140 total_magnetization_mub_per_fu=0.00 spacegroup=P4/mmm crystal_system=tetragonal dos_at_fermi_per_ev_cell=0.899 pbc="T T T"
Cs 0.000 0.000 0.000
In 0.000 0.000 3.983
Au 1.927 1.927 2.567
Au 1.927 1.927 5.398


Record 8
4
Lattice="2.921 -5.206 0.000 2.921 5.206 0.000 0.000 0.000 3.694" Properties=species:S:1:pos:R:3 comment="CaSc2Se | Alexandria | PBE-GGA | optimized geometry" total_magnetization_mub_per_fu=0.00 spacegroup=Cmmm formation_energy_uncorrected_ev_per_fu=-2.3 crystal_system=orthorhombic dos_at_fermi_per_ev_cell=6.751 pbc="T T T"
Ca 0.000 0.000 0.000
Sc 2.921 1.881 1.847
Sc 2.921 -1.881 1.847
Se 2.921 0.000 0.000